1.
VASP calculation (PBE-GGA) on a geometry-optimized ErRhS2 structure.

Values from the calculation:
The space group is R-3m (166). As for the theoretical density: 6.33 Mg/m³. The value obtained for the energy is -0.4133 Ry per atom. As for the formation energy (no corrections): -13.38 kcal/mol of atoms.

a = 7.969 Å, b = 7.969 Å, c = 7.969 Å
α = 26.32°, β = 26.32°, γ = 26.32°
Element x y z (fractional)
Er: 0.000 0.000 0.000
Rh: 0.500 0.500 0.500
S: 0.116 0.116 0.116
S: 0.884 0.884 0.884

2.
VASP calculation (PBE-GGA) on a geometry-optimized Er3RhS structure.

Values from the calculation:
The space group is Pmmn (59). As for the theoretical density: 8.93 Mg/m³. The value obtained for the energy is -0.4510 Ry per atom. As for the formation energy (no corrections): -25.44 kcal/mol of atoms.

a = 3.718 Å, b = 6.684 Å, c = 9.526 Å
α = 90.00°, β = 90.00°, γ = 90.00°
Element x y z (fractional)
Er: 0.250 0.011 0.186
Er: 0.250 0.250 0.544
Er: 0.250 0.489 0.186
Er: 0.750 0.511 0.814
Er: 0.750 0.750 0.456
Er: 0.750 0.989 0.814
Rh: 0.250 0.750 0.663
Rh: 0.750 0.250 0.337
S: 0.250 0.250 0.943
S: 0.750 0.750 0.057

3.
VASP calculation (PBE-GGA) on a geometry-optimized Er4RhSe2S structure.

Values from the calculation:
The space group is P2/m (10). As for the theoretical density: 8.68 Mg/m³. The value obtained for the energy is -0.4503 Ry per atom. As for the formation energy (no corrections): -35.50 kcal/mol of atoms.

a = 7.021 Å, b = 3.929 Å, c = 7.037 Å
α = 90.00°, β = 108.67°, γ = 90.00°
Element x y z (fractional)
Er: 0.234 0.000 0.225
Er: 0.252 0.500 0.769
Er: 0.748 0.500 0.231
Er: 0.766 0.000 0.775
Rh: 0.000 0.500 0.000
Se: 0.000 0.000 0.500
Se: 0.500 0.500 0.500
S: 0.500 0.000 0.000

4.
VASP calculation (PBE-GGA) on a geometry-optimized Er4RhSeS2 structure.

Values from the calculation:
The space group is P2/m (10). As for the theoretical density: 8.59 Mg/m³. The value obtained for the energy is -0.4585 Ry per atom. As for the formation energy (no corrections): -36.20 kcal/mol of atoms.

a = 6.925 Å, b = 3.889 Å, c = 6.932 Å
α = 90.00°, β = 108.66°, γ = 90.00°
Element x y z (fractional)
Er: 0.235 0.000 0.243
Er: 0.235 0.500 0.744
Er: 0.765 0.000 0.757
Er: 0.765 0.500 0.256
Rh: 0.000 0.000 0.500
Se: 0.500 0.500 0.500
S: 0.000 0.500 0.000
S: 0.500 0.000 0.000

5.
VASP calculation (PBE-GGA) on a geometry-optimized Er6Te3Rh2S structure.

Values from the calculation:
The space group is C2/m (12). As for the theoretical density: 8.69 Mg/m³. The value obtained for the energy is -0.4320 Ry per atom. As for the formation energy (no corrections): -28.65 kcal/mol of atoms.

a = 7.112 Å, b = 7.112 Å, c = 7.492 Å
α = 99.22°, β = 99.22°, γ = 120.14°
Element x y z (fractional)
Er: 0.088 0.432 0.792
Er: 0.226 0.226 0.208
Er: 0.432 0.088 0.792
Er: 0.568 0.912 0.208
Er: 0.774 0.774 0.792
Er: 0.912 0.568 0.208
Te: 0.000 0.000 0.500
Te: 0.337 0.663 0.500
Te: 0.663 0.337 0.500
Rh: 0.167 0.833 0.000
Rh: 0.833 0.167 0.000
S: 0.500 0.500 0.000

6.
VASP calculation (PBE-GGA) on a geometry-optimized Er4Te2RhS structure.

Values from the calculation:
The space group is P2/m (10). As for the theoretical density: 8.58 Mg/m³. The value obtained for the energy is -0.4280 Ry per atom. As for the formation energy (no corrections): -30.46 kcal/mol of atoms.

a = 7.264 Å, b = 4.041 Å, c = 7.356 Å
α = 90.00°, β = 108.26°, γ = 90.00°
Element x y z (fractional)
Er: 0.226 0.000 0.204
Er: 0.258 0.500 0.790
Er: 0.742 0.500 0.210
Er: 0.774 0.000 0.796
Te: 0.000 0.000 0.500
Te: 0.500 0.500 0.500
Rh: 0.000 0.500 0.000
S: 0.500 0.000 0.000

7.
VASP calculation (PBE-GGA) on a geometry-optimized ErSb2Rh structure.

Values from the calculation:
The space group is R-3m (166). As for the theoretical density: 8.38 Mg/m³. The value obtained for the energy is -0.3847 Ry per atom. As for the formation energy (no corrections): -4.48 kcal/mol of atoms.

a = 9.948 Å, b = 9.948 Å, c = 9.948 Å
α = 20.11°, β = 20.11°, γ = 20.11°
Element x y z (fractional)
Er: 0.000 0.000 0.000
Sb: 0.105 0.105 0.105
Sb: 0.895 0.895 0.895
Rh: 0.500 0.500 0.500

8.
VASP calculation (PBE-GGA) on a geometry-optimized Er7Sb2Rh2 structure.

Values from the calculation:
The space group is Cmmm (65). As for the theoretical density: 8.50 Mg/m³. The value obtained for the energy is -0.4106 Ry per atom. As for the formation energy (no corrections): -13.77 kcal/mol of atoms.

a = 6.760 Å, b = 6.760 Å, c = 7.047 Å
α = 90.00°, β = 90.00°, γ = 100.70°
Element x y z (fractional)
Er: 0.000 0.000 0.000
Er: 0.000 0.500 0.244
Er: 0.000 0.500 0.756
Er: 0.500 0.000 0.244
Er: 0.500 0.000 0.756
Er: 0.500 0.500 0.234
Er: 0.500 0.500 0.766
Sb: 0.209 0.209 0.500
Sb: 0.791 0.791 0.500
Rh: 0.278 0.722 0.000
Rh: 0.722 0.278 0.000

9.
VASP calculation (PBE-GGA) on a geometry-optimized ErSbRh structure.

Values from the calculation:
The space group is P4/nmm (129). As for the theoretical density: 10.00 Mg/m³. The value obtained for the energy is -0.4597 Ry per atom. As for the formation energy (no corrections): -20.95 kcal/mol of atoms.

a = 4.322 Å, b = 4.322 Å, c = 6.965 Å
α = 90.00°, β = 90.00°, γ = 90.00°
Element x y z (fractional)
Er: 0.250 0.250 0.199
Er: 0.750 0.750 0.801
Sb: 0.250 0.250 0.747
Sb: 0.750 0.750 0.253
Rh: 0.250 0.750 0.500
Rh: 0.750 0.250 0.500

10.
VASP calculation (PBE-GGA) on a geometry-optimized Er3Sb2Rh6 structure.

Values from the calculation:
The space group is Im-3m (229). As for the theoretical density: 10.74 Mg/m³. The value obtained for the energy is -0.4955 Ry per atom. As for the formation energy (no corrections): -17.01 kcal/mol of atoms.

a = 8.181 Å, b = 8.181 Å, c = 8.181 Å
α = 109.47°, β = 109.47°, γ = 109.47°
Element x y z (fractional)
Er: 0.000 0.288 0.288
Er: 0.000 0.712 0.712
Er: 0.288 0.000 0.288
Er: 0.288 0.288 0.000
Er: 0.712 0.000 0.712
Er: 0.712 0.712 0.000
Sb: 0.000 0.000 0.500
Sb: 0.000 0.500 0.000
Sb: 0.500 0.000 0.000
Sb: 0.500 0.500 0.500
Rh: 0.000 0.350 0.650
Rh: 0.000 0.650 0.350
Rh: 0.301 0.650 0.650
Rh: 0.350 0.000 0.650
Rh: 0.350 0.350 0.699
Rh: 0.350 0.650 0.000
Rh: 0.350 0.699 0.350
Rh: 0.650 0.000 0.350
Rh: 0.650 0.301 0.650
Rh: 0.650 0.350 0.000
Rh: 0.650 0.650 0.301
Rh: 0.699 0.350 0.350

11.
VASP calculation (PBE-GGA) on a geometry-optimized Er5Sb4Rh structure.

Values from the calculation:
The space group is I4 (79). As for the theoretical density: 8.49 Mg/m³. The value obtained for the energy is -0.4111 Ry per atom. As for the formation energy (no corrections): -21.40 kcal/mol of atoms.

a = 7.410 Å, b = 7.410 Å, c = 7.410 Å
α = 99.84°, β = 99.84°, γ = 131.17°
Element x y z (fractional)
Er: 0.000 0.000 0.000
Er: 0.098 0.477 0.812
Er: 0.286 0.098 0.621
Er: 0.477 0.664 0.379
Er: 0.664 0.286 0.188
Sb: 0.178 0.788 0.205
Sb: 0.583 0.973 0.795
Sb: 0.788 0.583 0.610
Sb: 0.973 0.178 0.390
Rh: 0.446 0.446 0.000

12.
VASP calculation (PBE-GGA) on a geometry-optimized ErSb2Rh4 structure.

Values from the calculation:
The space group is I4/mmm (139). As for the theoretical density: 9.70 Mg/m³. The value obtained for the energy is -0.4612 Ry per atom. As for the formation energy (no corrections): -5.63 kcal/mol of atoms.

a = 9.243 Å, b = 9.243 Å, c = 9.243 Å
α = 155.01°, β = 155.01°, γ = 35.64°
Element x y z (fractional)
Er: 0.000 0.000 0.000
Sb: 0.361 0.361 0.000
Sb: 0.639 0.639 0.000
Rh: 0.143 0.143 0.000
Rh: 0.250 0.750 0.500
Rh: 0.750 0.250 0.500
Rh: 0.857 0.857 0.000